(1)
Material: La3Ag2N
Method: DFT, PBE
State: relaxed

Cell lengths 5.186, 3.754, 8.013 Å; angles 90.00, 108.72, 90.00 degrees
Space group P2/m (No. 10)
Asymmetric unit:
La 0.000 0.000 0.000 x1
La 0.382 0.500 0.762 x2
Ag 0.205 0.000 0.409 x2
N 0.500 0.000 0.000 x1

Energy relative to the elements, uncorrected   -0.6119 eV/atom



(2)
Material: CaTb2P
Method: DFT, PBE
State: relaxed

Cell lengths 3.8530, 3.8530, 30.6867 Å; angles 90.00, 90.00, 120.00 degrees
Space group R-3m (No. 166, hexagonal axes)
Asymmetric unit:
Ca 0.0000 0.0000 0.0000 x3
Tb 0.0000 0.0000 0.1151 x6
P 0.0000 0.0000 0.5000 x3

ΔH_f (0 K)   -58.0 kJ per mole of atoms



(3)
Material: NaCaTl3Pb
Method: DFT, PBE
State: relaxed

Cell lengths 3.960, 16.402, 11.010 Å; angles 90.00, 90.00, 90.00 degrees
Space group Cmcm (No. 63)
Asymmetric unit:
Na 0.000 0.175 0.250 x4
Ca 0.000 0.000 0.000 x4
Tl 0.000 0.161 0.750 x4
Tl 0.000 0.330 0.000 x8
Pb 0.000 0.496 0.750 x4

ΔH_f (0 K)   -20.7 kJ per mole of atoms



(4)
Material: TbPm12Y5
Method: DFT, PBE
State: relaxed

Cell lengths 11.223, 18.043, 6.005 Å; angles 90.00, 90.03, 90.00 degrees
Space group C2/m (No. 12)
Asymmetric unit:
Tb 0.000 0.000 0.000 x2
Pm 0.162 0.000 0.490 x4
Pm 0.162 0.167 0.009 x8
Pm 0.163 0.334 0.491 x8
Pm 0.163 0.500 0.010 x4
Y 0.000 0.167 0.500 x4
Y 0.000 0.334 0.000 x4
Y 0.000 0.500 0.500 x2

ΔH_f (0 K)   10.3 kJ per mole of atoms



(5)
Material: Pr4Ge2Cl5
Method: DFT, PBE
State: relaxed

Cell lengths 23.374, 4.188, 8.166 Å; angles 90.00, 102.55, 90.00 degrees
Space group C2/m (No. 12)
Asymmetric unit:
Pr 0.010 0.000 0.274 x4
Pr 0.163 0.500 0.465 x4
Ge 0.053 0.500 0.555 x4
Cl 0.000 0.500 0.000 x2
Cl 0.131 0.000 0.226 x4
Cl 0.226 0.000 0.670 x4

Energy relative to the elements, uncorrected   -1.5747 eV/atom



(6)
Material: La2Pr3Sm6Pb
Method: DFT, PBE
State: relaxed

Cell lengths 6.276, 10.879, 12.066 Å; angles 90.00, 100.09, 90.00 degrees
Space group C2/m (No. 12)
Asymmetric unit:
La 0.000 0.166 0.000 x4
Pr 0.000 0.000 0.500 x2
Pr 0.000 0.331 0.500 x4
Sm 0.241 0.500 0.751 x4
Sm 0.244 0.338 0.247 x8
Pb 0.000 0.500 0.000 x2

ΔH_f (0 K)   -7.5 kJ per mole of atoms



(7)
Material: BaLiGa2Co
Method: DFT, PBE
State: relaxed

Cell lengths 4.667, 4.667, 5.014 Å; angles 90.00, 90.00, 90.00 degrees
Space group P4/mmm (No. 123)
Asymmetric unit:
Ba 0.000 0.000 0.000 x1
Li 0.500 0.500 0.000 x1
Ga 0.000 0.500 0.500 x2
Co 0.500 0.500 0.500 x1

ΔH_f (0 K)   -24.3 kJ per mole of atoms



(8)
Material: Sm4Ho3Er
Method: DFT, PBE
State: relaxed

Cell lengths 25.927, 5.643, 3.614 Å; angles 90.00, 90.06, 90.00 degrees
Space group C2/m (No. 12)
Asymmetric unit:
Sm 0.102 0.000 0.000 x4
Sm 0.223 0.000 0.000 x4
Ho 0.000 0.500 0.000 x2
Ho 0.151 0.500 0.500 x4
Er 0.000 0.000 0.500 x2

E above lowest polymorph   169 meV per atom
ΔH_f (0 K)   18.3 kJ per mole of atoms



(9)
Material: AlIN2F
Method: DFT, PBE
State: relaxed

Cell lengths 4.988, 4.988, 4.461 Å; angles 90.00, 90.00, 90.00 degrees
Space group P4/mmm (No. 123)
Asymmetric unit:
Al 0.000 0.000 0.000 x1
I 0.500 0.500 0.000 x1
N 0.000 0.500 0.500 x2
F 0.500 0.500 0.500 x1

E above lowest polymorph   1921 meV per atom
Energy relative to the elements, uncorrected   1.9167 eV/atom



(10)
Material: UAgGeAu
Method: DFT, PBE
State: relaxed

Cell lengths 6.896, 6.896, 6.896 Å; angles 90.00, 90.00, 90.00 degrees
Space group F-43m (No. 216)
Asymmetric unit:
U 0.000 0.000 0.000 x4
Ag 0.000 0.000 0.500 x4
Ge 0.250 0.250 0.250 x4
Au 0.250 0.250 0.750 x4

ΔH_f (0 K)   -5.5 kJ per mole of atoms



(11)
Material: SiRu2F
Method: DFT, PBE
State: relaxed

Cell lengths 5.841, 5.841, 5.841 Å; angles 90.00, 90.00, 90.00 degrees
Space group Fm-3m (No. 225)
Asymmetric unit:
Si 0.000 0.000 0.000 x4
Ru 0.250 0.250 0.250 x8
F 0.000 0.000 0.500 x4

E above lowest polymorph   0 meV per atom
Energy relative to the elements, uncorrected   -0.1892 eV/atom



(12)
Material: ThGa7Tc2
Method: DFT, PBE
State: relaxed

Cell lengths 8.984, 10.449, 4.701 Å; angles 90.00, 90.00, 90.00 degrees
Space group Cmmm (No. 65)
Asymmetric unit:
Th 0.000 0.000 0.000 x2
Ga 0.000 0.305 0.000 x4
Ga 0.000 0.500 0.500 x2
Ga 0.230 0.127 0.500 x8
Tc 0.000 0.262 0.500 x4

ΔH_f (0 K)   -5.4 kJ per mole of atoms



(13)
Material: ZrAlNi
Method: DFT, PBE
State: relaxed

Cell lengths 6.3709, 6.3709, 8.9045 Å; angles 90.00, 90.00, 120.00 degrees
Space group P-62c (No. 190)
Asymmetric unit:
Zr 0.0000 0.0000 0.2500 x2
Zr 0.3333 0.6667 0.0281 x4
Al 0.0448 0.4904 0.7500 x6
Ni 0.0000 0.2336 0.0000 x6

ΔH_f (0 K)   -29.8 kJ per mole of atoms



(14)
Material: YTlCuPd
Method: DFT, PBE
State: relaxed

Cell lengths 6.815, 6.815, 6.815 Å; angles 90.00, 90.00, 90.00 degrees
Space group F-43m (No. 216)
Asymmetric unit:
Y 0.000 0.000 0.000 x4
Tl 0.000 0.000 0.500 x4
Cu 0.250 0.250 0.250 x4
Pd 0.250 0.250 0.750 x4

ΔH_f (0 K)   -37.4 kJ per mole of atoms



(15)
Material: CaNd3Er6
Method: DFT, PBE
State: relaxed

Cell lengths 18.139, 6.847, 5.950 Å; angles 90.00, 105.24, 90.00 degrees
Space group C2/m (No. 12)
Asymmetric unit:
Ca 0.000 0.000 0.000 x2
Nd 0.000 0.500 0.500 x2
Nd 0.147 0.000 0.597 x4
Er 0.170 0.262 0.096 x8
Er 0.186 0.500 0.599 x4

ΔH_f (0 K)   23.6 kJ per mole of atoms



(16)
Material: Ca2TcSb
Method: DFT, PBE
State: relaxed

Cell lengths 4.626, 4.626, 4.469 Å; angles 90.00, 90.00, 90.00 degrees
Space group P4/mmm (No. 123)
Asymmetric unit:
Ca 0.000 0.500 0.000 x2
Tc 0.000 0.000 0.500 x1
Sb 0.500 0.500 0.500 x1

Energy relative to the elements, uncorrected   0.0430 eV/atom



(17)
Material: HfZr7Tl4
Method: DFT, PBE
State: relaxed

Cell lengths 11.391, 5.405, 11.018 Å; angles 90.00, 119.77, 90.00 degrees
Space group C2/m (No. 12)
Asymmetric unit:
Hf 0.000 0.000 0.000 x2
Zr 0.000 0.500 0.000 x2
Zr 0.040 0.000 0.372 x4
Zr 0.147 0.500 0.552 x4
Zr 0.211 0.000 0.910 x4
Tl 0.089 0.500 0.779 x4
Tl 0.220 0.500 0.321 x4

ΔH_f (0 K)   27.8 kJ per mole of atoms



(18)
Material: Y3Ta
Method: DFT, PBE
State: relaxed

Cell lengths 11.113, 3.311, 5.975 Å; angles 90.00, 99.69, 90.00 degrees
Space group C2/m (No. 12)
Asymmetric unit:
Y 0.000 0.000 0.000 x2
Y 0.238 0.000 0.733 x4
Ta 0.000 0.500 0.500 x2

E above lowest polymorph   81 meV per atom
ΔH_f (0 K)   33.8 kJ per mole of atoms



(19)
Material: YZr2AuN
Method: DFT, PBE
State: relaxed

Cell lengths 4.484, 4.484, 4.732 Å; angles 90.00, 90.00, 90.00 degrees
Space group P4/mmm (No. 123)
Asymmetric unit:
Y 0.000 0.000 0.000 x1
Zr 0.000 0.500 0.500 x2
Au 0.500 0.500 0.000 x1
N 0.000 0.000 0.500 x1

Energy relative to the elements, uncorrected   -0.9316 eV/atom



(20)
Material: CsKMgCl4
Method: DFT, PBE
State: relaxed

Cell lengths 7.475, 7.369, 9.446 Å; angles 90.00, 108.23, 90.00 degrees
Space group P2_1/m (No. 11)
Asymmetric unit:
Cs 0.221 0.250 0.433 x2
K 0.283 0.250 0.947 x2
Mg 0.268 0.750 0.184 x2
Cl 0.075 0.750 0.936 x2
Cl 0.084 0.750 0.345 x2
Cl 0.481 0.505 0.232 x4

Energy relative to the elements, uncorrected   -1.9424 eV/atom



Calculated theoretical density (g/cm3), listed in the same order as above: 7.266, 4.911, 8.205, 6.401, 3.772, 7.411, 5.210, 7.935, 3.006, 12.466, 8.307, 6.893, 5.632, 9.721, 6.876, 5.207, 9.218, 6.862, 8.417, 2.272
Calculated magnetic moment (μB/cell), listed in the same order as above: 0.0, 0.0, 0.0, 0.0, 0.0, 0.0, 0.0, 0.0, 5.3, 9.8, 4.6, 0.0, 0.0, 0.0, 0.0, 2.0, 0.0, 0.0, 0.0, 0.0